Record 1
Computed, not measured: an optimized crystal structure of La3AlHg3 at the PBE-GGA level of DFT.

Values from the calculation:
Volume ... 28.824 Å³ per atom
Total energy ... -45.08 eV for the cell shown
Formation energy ... -0.444 eV/atom

abc: 6.2305 6.2305 16.0448
angles: 108.55 108.55 43.60
Fractional coordinates of all 14 atoms:
La  0.0320  0.0320  0.3899
La  0.0957  0.0957  0.9192
La  0.2476  0.2476  0.2330
La  0.7524  0.7524  0.7670
La  0.9043  0.9043  0.0808
La  0.9680  0.9680  0.6101
Al  0.2604  0.2604  0.6090
Al  0.7396  0.7396  0.3910
Hg  0.3564  0.3564  0.4588
Hg  0.3753  0.3753  0.9229
Hg  0.4693  0.4693  0.7621
Hg  0.5307  0.5307  0.2379
Hg  0.6247  0.6247  0.0771
Hg  0.6436  0.6436  0.5412

---

Record 2
Computed, not measured: an optimized crystal structure of La4AlHg at the PBE-GGA level of DFT.

Values from the calculation:
Energy relative to the lowest polymorph listed for this composition ... 0 meV per atom
Volume ... 35.196 Å³ per atom
Total energy ... -24.45 eV for the cell shown
Formation energy ... -0.117 eV/atom

abc: 5.3262 5.3262 7.4439
angles: 90.00 90.00 90.00
Fractional coordinates of all 6 atoms:
La  0.0000  0.5000  0.2400
La  0.0000  0.5000  0.7600
La  0.5000  0.0000  0.2400
La  0.5000  0.0000  0.7600
Al  0.0000  0.0000  0.0000
Hg  0.5000  0.5000  0.5000

---

Record 3
Computed, not measured: an optimized crystal structure of LaAlHg2 at the PBE-GGA level of DFT.

Values from the calculation:
Volume ... 25.578 Å³ per atom
Total energy ... -10.73 eV for the cell shown
Formation energy ... -0.363 eV/atom

abc: 4.6426 4.6426 6.1030
angles: 112.31 112.31 59.92
Fractional coordinates of all 4 atoms:
La  0.0000  0.0000  0.0000
Al  0.5000  0.5000  0.5000
Hg  0.2242  0.2242  0.6724
Hg  0.7758  0.7758  0.3276

---

Record 4
Computed, not measured: an optimized crystal structure of La6AlHg5 at the PBE-GGA level of DFT.

Values from the calculation:
Volume ... 29.554 Å³ per atom
Total energy ... -40.46 eV for the cell shown
Formation energy ... -0.470 eV/atom

abc: 9.5307 9.5307 9.5307
angles: 146.49 131.50 60.24
Fractional coordinates of all 12 atoms:
La  0.0825  0.3364  0.7460
La  0.2426  0.0000  0.2426
La  0.4096  0.6636  0.7460
La  0.5904  0.3364  0.2540
La  0.7574  0.0000  0.7574
La  0.9175  0.6636  0.2540
Al  0.0000  0.5000  0.5000
Hg  0.1684  0.1684  0.0000
Hg  0.3339  0.8339  0.5000
Hg  0.5000  0.5000  0.0000
Hg  0.6661  0.1661  0.5000
Hg  0.8316  0.8316  0.0000

---

Record 5
Computed, not measured: an optimized crystal structure of La8AlHg2 at the PBE-GGA level of DFT.

Values from the calculation:
Energy relative to the lowest polymorph listed for this composition ... 36 meV per atom
Volume ... 32.972 Å³ per atom
Total energy ... -45.60 eV for the cell shown
Formation energy ... -0.167 eV/atom

abc: 8.8339 8.8339 5.6925
angles: 100.72 100.72 118.72
Fractional coordinates of all 11 atoms:
La  0.0866  0.2966  0.5822
La  0.2217  0.7783  0.0000
La  0.2966  0.0866  0.5822
La  0.3919  0.3919  0.1911
La  0.6081  0.6081  0.8089
La  0.7034  0.9134  0.4178
La  0.7783  0.2217  0.0000
La  0.9134  0.7034  0.4178
Al  0.0000  0.0000  0.0000
Hg  0.3083  0.6917  0.5000
Hg  0.6917  0.3083  0.5000

---

Record 6
Computed, not measured: an optimized crystal structure of La4AlHg at the PBE-GGA level of DFT.

Values from the calculation:
Energy relative to the lowest polymorph listed for this composition ... 29 meV per atom
Volume ... 33.481 Å³ per atom
Total energy ... -24.28 eV for the cell shown
Formation energy ... -0.087 eV/atom

abc: 4.0107 5.8208 8.6049
angles: 90.00 90.00 90.00
Fractional coordinates of all 6 atoms:
La  0.0000  0.0000  0.2039
La  0.0000  0.0000  0.7961
La  0.5000  0.5000  0.2814
La  0.5000  0.5000  0.7186
Al  0.0000  0.5000  0.0000
Hg  0.5000  0.0000  0.5000

---

The records above give, respectively, spin magnetization values of 0.000, 0.001, 0.000, 1.664, 0.000, 0.000 μB/cell.
The records above give, respectively, mass density values of 8.60, 6.16, 9.20, 8.72, 7.05, 6.47 g cm⁻³.